The following is a DFT calculation (PBE with a Hubbard U) of crystalline SrPaMn2O8 at its relaxed geometry.

Lattice parameters (Å, degrees): 7.001 7.001 7.001 136.28 136.28 63.55
Atoms (fractional coordinates):
Sr 0.000 0.000 0.000
Pa 0.250 0.750 0.500
Mn 0.500 0.500 0.000
Mn 0.750 0.250 0.500
O 0.291 0.666 0.111
O 0.334 0.445 0.625
O 0.407 0.014 0.037
O 0.555 0.180 0.889
O 0.630 0.593 0.607
O 0.820 0.709 0.375
O 0.977 0.370 0.963
O 0.986 0.023 0.393

* space-group type: I-4
* total DFT energy (no corrections): -90.45 eV/cell